Material: LiAcHf2N4
Method: DFT, PBE
State: optimized geometry

Values from the calculation:
total energy = -8.8747 eV/atom
E_form (uncorrected) = -1.471 eV/atom

Cell: 3.344 10.985 11.201 Å, 90.00 90.00 90.00°
Space group Cmcm (No. 63)
Asymmetric unit:
Li 0.000 0.165 0.250 (multiplicity 4)
Ac 0.000 0.104 0.750 (multiplicity 4)
Hf 0.000 0.364 0.557 (multiplicity 8)
N 0.000 0.000 0.000 (multiplicity 4)
N 0.000 0.260 0.105 (multiplicity 8)
N 0.000 0.427 0.750 (multiplicity 4)